DFT (GGA+U) results for Ba3Fe2TeO5 after structural relaxation.

Unit cell a=4.1096 b=4.1096 c=12.1877 alpha=90.00 beta=90.00 gamma=90.00
Closest atoms and distances in Å follow each position.
Space group P4/mmm (No. 123)
Symmetry-distinct sites (fractional):
Ba 0.0000 0.0000 0.0000 x1  12 O 2.91-3.03
Ba 0.0000 0.0000 0.3279 x2  4 O 2.71
Fe 0.5000 0.5000 0.1584 x2  5 O 1.93-2.08
Te 0.5000 0.5000 0.5000 x1  8 Ba 3.58
O 0.0000 0.5000 0.1826 x4  2 Fe 2.08
O 0.5000 0.5000 0.0000 x1  2 Fe 1.93

Calculated values
total DFT energy (no corrections) = -6.05 eV per atom
V = 18.71 Å³ per atom